## NaCaHg4 (PBE)

Data for a relaxed structure of NaCaHg4.

Cell: 4.430 4.430 9.395 Å, 90.00 90.00 90.00°
Fractional positions:
Na  0.000  0.000  0.000
Ca  0.500  0.500  0.500
Hg  0.000  0.500  0.253
Hg  0.000  0.500  0.747
Hg  0.500  0.000  0.253
Hg  0.500  0.000  0.747

Magnetic moment, μB/f.u.: 0.0
Crystal system: tetragonal
Energy, eV per atom: -0.97
Polymorph energy (0 for the lowest one), eV/atom: 0.121
Energy relative to the elements, eV per formula unit: -1.3


## MgZrHg4 (PBE)

Data for a relaxed structure of MgZrHg4.

Cell: 5.819 5.819 5.819 Å, 60.00 60.00 60.00°
Fractional positions:
Mg  0.000  0.000  0.000
Zr  0.750  0.750  0.750
Hg  0.375  0.375  0.375
Hg  0.375  0.375  0.874
Hg  0.375  0.874  0.375
Hg  0.874  0.375  0.375

Magnetic moment, μB/f.u.: 0.7
Crystal system: cubic
Energy, eV per atom: -1.65
Polymorph energy (0 for the lowest one), eV/atom: 0.329
Energy relative to the elements, eV per formula unit: 1.5


## ZrCuRu2 (PBE)

Data for a relaxed structure of ZrCuRu2.

Cell: 4.662 4.662 4.811 Å, 103.27 103.27 37.94°
Fractional positions:
Zr  0.000  0.000  0.000
Cu  0.500  0.500  0.500
Ru  0.243  0.243  0.719
Ru  0.757  0.757  0.281

Magnetic moment, μB/f.u.: 0.0
Crystal system: monoclinic
Energy, eV per atom: -7.83
Energy relative to the elements, eV per formula unit: -0.1


## Lu2FeCu (PBE)

Data for a relaxed structure of Lu2FeCu.

Cell: 9.467 9.467 9.467 Å, 19.86 19.86 19.86°
Fractional positions:
Lu  0.099  0.099  0.099
Lu  0.901  0.901  0.901
Fe  0.500  0.500  0.500
Cu  0.000  0.000  0.000

Magnetic moment, μB/f.u.: 0.8
Crystal system: trigonal
Energy, eV per atom: -4.93
Energy relative to the elements, eV per formula unit: 1.9


- Among the records above, which one has the lowest energy?
  ZrCuRu2


- What is the formula in the fourth record?
  Lu2FeCu


- energy relative to the elements of number 2 (MgZrHg4)?
  1.5 eV per formula unit